Record 1
VASP calculation (PBE) on a relaxed structure of PrGa2Au5.

Values from the calculation:
ΔH_f (0 K)	-0.42	eV/atom
crystal system	orthorhombic
final energy	-3.82	eV per atom
space-group type	No. 71

Lattice parameters (Å, degrees): 6.8043 6.8043 6.8043 144.44 114.45 76.85
Fractional positions:
Pr  0.0000  0.0000  0.0000
Ga  0.2539  0.7539  0.5000
Ga  0.7461  0.2461  0.5000
Au  0.1605  0.3639  0.7966
Au  0.4327  0.6361  0.7966
Au  0.5000  0.0000  0.5000
Au  0.5673  0.3639  0.2034
Au  0.8395  0.6361  0.2034

---

Record 2
VASP calculation (PBE) on a relaxed structure of CdInF5.

Values from the calculation:
crystal system	monoclinic
final energy	-4.21	eV per atom
E_form (uncorrected)	-2.36	eV/atom
space-group type	No. 15

Lattice parameters (Å, degrees): 5.7622 5.7622 8.0934 110.37 110.37 72.04
Fractional positions:
Cd  0.0343  0.9657  0.7500
Cd  0.9657  0.0343  0.2500
In  0.5000  0.5000  0.0000
In  0.5000  0.5000  0.5000
F  0.1761  0.7848  0.0326
F  0.2152  0.8239  0.4674
F  0.2196  0.2939  0.3693
F  0.2939  0.2196  0.8693
F  0.3958  0.6042  0.7500
F  0.6042  0.3958  0.2500
F  0.7061  0.7804  0.1307
F  0.7804  0.7061  0.6307
F  0.7848  0.1761  0.5326
F  0.8239  0.2152  0.9674

---

Record 3
VASP calculation (PBE) on a relaxed structure of Pa2CdBi3.

Values from the calculation:
ΔH_f (0 K)	-0.12	eV/atom
crystal system	tetragonal
final energy	-5.38	eV per atom
energy relative to the lowest polymorph listed for this composition	0.00	eV per formula unit
space-group type	No. 115

Lattice parameters (Å, degrees): 4.4468 4.4468 8.8181 90.00 90.00 90.00
Fractional positions:
Pa  0.0000  0.5000  0.2155
Pa  0.5000  0.0000  0.7845
Cd  0.0000  0.0000  0.5000
Bi  0.0000  0.5000  0.8479
Bi  0.5000  0.0000  0.1521
Bi  0.5000  0.5000  0.5000

---

Record 4
VASP calculation (PBE) on a relaxed structure of PaInHg.

Values from the calculation:
ΔH_f (0 K)	0.04	eV/atom
crystal system	triclinic
final energy	-4.14	eV per atom
energy relative to the lowest polymorph listed for this composition	0.09	eV per formula unit
space-group type	No. 2

Lattice parameters (Å, degrees): 3.1524 5.4642 8.6083 93.40 100.44 90.00
Fractional positions:
Pa  0.0411  0.2217  0.0835
Pa  0.9589  0.7783  0.9165
In  0.3762  0.2671  0.7499
In  0.6238  0.7329  0.2501
Hg  0.2906  0.7528  0.5743
Hg  0.7094  0.2472  0.4257

---

Record 5
VASP calculation (PBE) on a relaxed structure of NaAuI2Br6.

Values from the calculation:
crystal system	triclinic
final energy	-2.13	eV per atom
E_form (uncorrected)	-0.36	eV/atom
space-group type	No. 1

Lattice parameters (Å, degrees): 7.1657 7.7779 8.3550 78.41 78.73 71.26
Fractional positions:
Na  0.0000  0.0000  0.0000
Au  0.7754  0.2726  0.4582
I  0.4979  0.1054  0.0896
I  0.9970  0.4408  0.8638
Br  0.0496  0.1953  0.6298
Br  0.4397  0.9011  0.8979
Br  0.5086  0.3648  0.2794
Br  0.6045  0.5627  0.5669
Br  0.9452  0.9713  0.3611
Br  0.9924  0.6106  0.1048

---

Record 6
VASP calculation (PBE) on a relaxed structure of AlCdCl2.

Values from the calculation:
crystal system	monoclinic
final energy	-2.77	eV per atom
energy relative to the lowest polymorph listed for this composition	0.00	eV per formula unit
E_form (uncorrected)	-0.68	eV/atom
space-group type	No. 6

Lattice parameters (Å, degrees): 5.5750 3.7105 5.8859 90.00 117.40 90.00
Fractional positions:
Al  0.0000  0.0000  0.0000
Cd  0.2998  0.5000  0.8936
Cl  0.5791  0.0000  0.6750
Cl  0.9016  0.5000  0.2371

---

Record 7
VASP calculation (PBE) on a relaxed structure of NaThCl5.

Values from the calculation:
crystal system	monoclinic
final energy	-4.60	eV per atom
E_form (uncorrected)	-2.03	eV/atom
space-group type	No. 15

Lattice parameters (Å, degrees): 7.8768 7.8768 8.4688 90.18 90.18 63.51
Fractional positions:
Na  0.0000  0.0000  0.0000
Na  0.0000  0.0000  0.5000
Th  0.4329  0.5671  0.7500
Th  0.5671  0.4329  0.2500
Cl  0.0523  0.7014  0.7542
Cl  0.2327  0.7673  0.2500
Cl  0.2986  0.9477  0.7458
Cl  0.3676  0.3733  0.4993
Cl  0.3733  0.3676  0.9993
Cl  0.6267  0.6324  0.0007
Cl  0.6324  0.6267  0.5007
Cl  0.7014  0.0523  0.2542
Cl  0.7673  0.2327  0.7500
Cl  0.9477  0.2986  0.2458

---

Record 8
VASP calculation (PBE) on a relaxed structure of Ac2BiCl.

Values from the calculation:
crystal system	tetragonal
final energy	-4.51	eV per atom
energy relative to the lowest polymorph listed for this composition	0.33	eV per formula unit
E_form (uncorrected)	-1.02	eV/atom
space-group type	No. 123

Lattice parameters (Å, degrees): 4.1134 4.1134 7.8278 90.00 90.00 90.00
Fractional positions:
Ac  0.0000  0.0000  0.2427
Ac  0.0000  0.0000  0.7573
Bi  0.5000  0.5000  0.0000
Cl  0.5000  0.5000  0.5000